Here is an optimized crystal structure of SrLa2 from Alexandria. Energies are from PBE-GGA.

Calculated values
- Space-group type: P6_3/mmc, No. 194
- Crystal system: hexagonal
- Total magnetization: 0.000 μB per atom
- DOS at the Fermi energy: 21.52 states/eV per cell
- VASP energy: -44.1 eV for the cell shown
- Volume: 130.36 Å³/f.u.
- Energy relative to the lowest polymorph listed for this composition: 98 meV/atom
- Formation energy: 0.1675 eV per atom

a = 7.147 Å, b = 7.147 Å, c = 11.787 Å
α = 90.00°, β = 90.00°, γ = 120.00°
Fractional positions:
Sr 0.333 0.667 0.065
Sr 0.667 0.333 0.565
Sr 0.667 0.333 0.935
Sr 0.333 0.667 0.435
La 0.000 0.000 0.000
La 0.000 0.000 0.500
La 0.837 0.675 0.250
La 0.163 0.325 0.750
La 0.325 0.163 0.250
La 0.837 0.163 0.250
La 0.163 0.837 0.750
La 0.675 0.837 0.750